Entry 1:
Entry from Alexandria: an optimized crystal structure of Al2Pt3 (PBE).

Unit cell a=3.1065 b=3.1065 c=8.0523 alpha=101.12 beta=101.12 gamma=90.00
Closest atoms and distances in Å follow each position.
Atoms (fractional coordinates):
Al: 0.3981 0.3981 0.7962  8 Pt 2.55-2.71
Al: 0.6019 0.6019 0.2038  8 Pt 2.55-2.71
Pt: 0.8140 0.8140 0.6280  4 Al 2.55
Pt: 0.0000 0.0000 0.0000  8 Al 2.71, 2 Pt 2.88
Pt: 0.1860 0.1860 0.3720  4 Al 2.55

Calculated values
- crystal system = tetragonal
- energy (eV for the cell shown) = -30.02
- E_form (meV per atom) = -882
- space group = I4/mmm (139)

Entry 2:
Entry from Alexandria: an optimized crystal structure of Ca4NdSm3Te8 (PBE).

Unit cell a=8.8736 b=9.0360 c=8.8740 alpha=119.41 beta=120.00 gamma=90.00
Closest atoms and distances in Å follow each position.
Atoms (fractional coordinates):
Te: 0.2496 0.2488 0.4993  3 Ca 3.16, 3 Sm 3.17
Te: 0.2511 0.2472 0.9992  3 Ca 3.14-3.16, 2 Sm 3.17, 1 Nd 3.19
Te: 0.2519 0.7528 0.0008  3 Ca 3.14-3.16, 2 Sm 3.17, 1 Nd 3.19
Te: 0.7504 0.7512 0.5007  3 Ca 3.16, 3 Sm 3.17
Te: 0.7479 0.2472 0.4959  3 Ca 3.14-3.16, 2 Sm 3.17, 1 Nd 3.19
Te: 0.7481 0.2472 0.9992  3 Ca 3.14-3.16, 2 Sm 3.17, 1 Nd 3.19
Te: 0.7489 0.7528 0.0008  3 Ca 3.14-3.16, 2 Sm 3.17, 1 Nd 3.19
Te: 0.2521 0.7528 0.5041  3 Ca 3.14-3.16, 2 Sm 3.17, 1 Nd 3.19
Ca: 0.5000 0.0000 0.0000  6 Te 3.14
Ca: 0.0000 0.0000 0.0000  6 Te 3.16
Ca: 0.5000 0.0000 0.5000  6 Te 3.16
Ca: 0.0000 0.0000 0.5000  6 Te 3.16
Sm: 0.5000 0.5000 0.0000  6 Te 3.17
Sm: 0.5000 0.5000 0.5000  6 Te 3.17
Sm: 0.0000 0.5000 0.5000  6 Te 3.17
Nd: 0.0000 0.5000 0.0000  6 Te 3.19

Calculated values
- crystal system = trigonal
- raw formation energy (meV/atom) = -1502
- energy (eV for the cell shown) = -76.10
- space group = R-3m (166)

Entry 3:
Entry from Alexandria: an optimized crystal structure of La12Tm6Pu (PBE).

Unit cell a=9.6261 b=9.6261 c=9.6261 alpha=110.84 beta=110.84 gamma=110.84
Closest atoms and distances in Å follow each position.
Atoms (fractional coordinates):
Tm: 0.4681 0.2159 0.3168  4 Tm 3.49-3.60, 1 Pu 3.60, 7 La 3.61-3.79
Tm: 0.2159 0.3168 0.4681  4 Tm 3.49-3.60, 1 Pu 3.60, 7 La 3.61-3.79
Tm: 0.3168 0.4681 0.2159  4 Tm 3.49-3.60, 1 Pu 3.60, 7 La 3.61-3.79
Tm: 0.6832 0.5319 0.7841  4 Tm 3.49-3.60, 1 Pu 3.60, 7 La 3.61-3.79
Tm: 0.5319 0.7841 0.6832  4 Tm 3.49-3.60, 1 Pu 3.60, 7 La 3.61-3.79
Tm: 0.7841 0.6832 0.5319  4 Tm 3.49-3.60, 1 Pu 3.60, 7 La 3.61-3.79
La: 0.2584 0.8983 0.8457  1 Pu 3.56, 8 La 3.56-3.72, 3 Tm 3.64-3.79
La: 0.1543 0.7416 0.1017  1 Pu 3.56, 8 La 3.56-3.72, 3 Tm 3.64-3.79
La: 0.0585 0.5821 0.3739  4 Tm 3.61-3.72, 8 La 3.61-3.69
La: 0.4179 0.6261 0.9415  4 Tm 3.61-3.72, 8 La 3.61-3.69
La: 0.3739 0.0585 0.5821  4 Tm 3.61-3.72, 8 La 3.61-3.69
La: 0.8457 0.2584 0.8983  1 Pu 3.56, 8 La 3.56-3.72, 3 Tm 3.64-3.79
La: 0.6261 0.9415 0.4179  4 Tm 3.61-3.72, 8 La 3.61-3.69
La: 0.8983 0.8457 0.2584  1 Pu 3.56, 8 La 3.56-3.72, 3 Tm 3.64-3.79
La: 0.5821 0.3739 0.0585  4 Tm 3.61-3.72, 8 La 3.61-3.69
La: 0.1017 0.1543 0.7416  1 Pu 3.56, 8 La 3.56-3.72, 3 Tm 3.64-3.79
La: 0.7416 0.1017 0.1543  1 Pu 3.56, 8 La 3.56-3.72, 3 Tm 3.64-3.79
La: 0.9415 0.4179 0.6261  4 Tm 3.61-3.72, 8 La 3.61-3.69
Pu: 0.0000 0.0000 0.0000  6 La 3.56, 6 Tm 3.60

Calculated values
- crystal system = trigonal
- energy (eV for the cell shown) = -99.47
- E_form (meV per atom) = 43
- space group = R-3 (148)

Entry 4:
Entry from Alexandria: an optimized crystal structure of Ce4SnPb (PBE).

Unit cell a=4.0137 b=4.0137 c=10.2372 alpha=85.73 beta=85.73 gamma=90.39
Closest atoms and distances in Å follow each position.
Atoms (fractional coordinates):
Ce: 0.5324 0.5324 0.8187  1 Ce 2.73
Ce: 0.0336 0.0337 0.3256  1 Ce 2.73
Ce: 0.9664 0.9663 0.6744  1 Ce 2.73
Ce: 0.4676 0.4676 0.1813  1 Ce 2.73
Pb: 0.0000 0.0000 0.0000  10 Ce 3.36-3.39
Sn: 0.5000 0.5000 0.5000  10 Ce 3.29-3.36

Calculated values
- crystal system = monoclinic
- energy (eV for the cell shown) = -33.63
- E_form (meV per atom) = -365
- space group = C2/m (12)

Entry 5:
Entry from Alexandria: an optimized crystal structure of VRuPt (PBE).

Unit cell a=6.8901 b=7.3076 c=7.3076 alpha=59.39 beta=61.87 gamma=61.87
Closest atoms and distances in Å follow each position.
Atoms (fractional coordinates):
Ru: 0.9804 0.6732 0.5680  4 V 2.46-2.61, 1 Ru 2.68
Ru: 0.2217 0.3268 0.4320  4 V 2.46-2.61, 1 Ru 2.68
Ru: 0.2217 0.9320 0.8268  4 V 2.46-2.61, 1 Ru 2.68
Ru: 0.5190 0.5000 0.5000  4 V 2.45-2.67, 2 Pt 2.66
Ru: 0.9804 0.0680 0.1732  4 V 2.46-2.61, 1 Ru 2.68
Ru: 0.5190 0.0000 0.0000  4 V 2.45-2.67, 2 Pt 2.66
Pt: 0.8151 0.2883 0.7883  5 V 2.61-2.80, 4 Ru 2.80-2.91, 1 Pt 2.83
Pt: 0.7519 0.5393 0.0393  4 V 2.57-2.84, 1 Pt 2.83, 2 Ru 2.86
Pt: 0.6171 0.0739 0.5739  5 V 2.59-2.84, 6 Ru 2.66-2.82
Pt: 0.3305 0.4607 0.9607  4 V 2.57-2.84, 1 Pt 2.83, 2 Ru 2.86
Pt: 0.8917 0.7117 0.2117  5 V 2.61-2.80, 4 Ru 2.80-2.91, 1 Pt 2.83
Pt: 0.2648 0.9261 0.4261  5 V 2.59-2.84, 6 Ru 2.66-2.82
V: 0.1902 0.3100 0.8100  6 Ru 2.50-2.67, 2 Pt 2.57-2.74
V: 0.5818 0.1333 0.2084  3 Ru 2.45-2.46, 4 Pt 2.58-2.64
V: 0.3101 0.6900 0.1900  6 Ru 2.50-2.67, 2 Pt 2.57-2.74
V: 0.5818 0.7084 0.6333  3 Ru 2.45-2.46, 4 Pt 2.58-2.64
V: 0.9235 0.8667 0.7916  3 Ru 2.45-2.46, 4 Pt 2.58-2.64
V: 0.9235 0.2916 0.3667  3 Ru 2.45-2.46, 4 Pt 2.58-2.64

Calculated values
- crystal system = orthorhombic
- energy (eV for the cell shown) = -150.58
- E_form (meV per atom) = -220
- space group = Ima2 (46)

Entry 6:
Entry from Alexandria: an optimized crystal structure of AgTe2SN (PBE).

Unit cell a=5.8805 b=5.8805 c=3.2517 alpha=90.00 beta=90.00 gamma=90.00
Closest atoms and distances in Å follow each position.
Atoms (fractional coordinates):
Ag: 0.5000 0.5000 0.5000  2 Ag 3.25, 8 Te 3.36
Te: 0.0000 0.5000 0.0000  2 S 2.94, 2 Te 3.25
Te: 0.5000 0.0000 0.0000  2 S 2.94, 2 Te 3.25
N: 0.0000 0.0000 0.5000  2 S 1.63
S: 0.0000 0.0000 0.0000  2 N 1.63

Calculated values
- crystal system = tetragonal
- raw formation energy (meV/atom) = 766
- energy (eV for the cell shown) = -17.76
- space group = P4/mmm (123)